## Nb3Fe2Co4 (PBE-GGA)

Data for Nb3Fe2Co4 after structural relaxation.

Output
* calculated total energy: -8.3583 eV per atom
* SG: C2/m
* ΔH_f (0 K): 37 meV/atom

a = 4.190 Å, b = 4.563 Å, c = 7.380 Å
α = 103.94°, β = 90.00°, γ = 117.33°
Last column: magnetic moment on the atom in μB.
Element x y z (fractional)
Fe  0.723  0.446  0.738  1.54
Fe  0.277  0.554  0.262  1.54
Co  0.943  0.885  0.339  0.91
Co  0.057  0.115  0.661  0.91
Co  0.695  0.389  0.060  0.24
Co  0.305  0.611  0.940  0.24
Nb  0.000  0.000  0.000  -0.23
Nb  0.622  0.245  0.369  -0.31
Nb  0.378  0.755  0.631  -0.31

## Nb2FeCo3 (PBE-GGA)

Data for Nb2FeCo3 after structural relaxation.

Output
* relative energy among the computed polymorphs: 417 meV per atom
* calculated total energy: -8.0704 eV per atom
* SG: Cmcm
* ΔH_f (0 K): 250 meV/atom

a = 4.469 Å, b = 6.532 Å, c = 6.532 Å
α = 115.39°, β = 90.00°, γ = 90.00°
Last column: magnetic moment on the atom in μB.
Element x y z (fractional)
Co  0.750  0.405  0.405  0.09
Co  0.500  0.195  0.805  0.71
Co  0.250  0.595  0.595  0.09
Co  0.000  0.195  0.805  0.71
Co  0.000  0.805  0.195  0.71
Co  0.500  0.805  0.195  0.71
Fe  0.750  0.067  0.067  2.35
Fe  0.250  0.933  0.933  2.35
Nb  0.750  0.547  0.820  -0.21
Nb  0.250  0.180  0.453  -0.21
Nb  0.750  0.820  0.547  -0.21
Nb  0.250  0.453  0.180  -0.21

## NbFeCo3 (PBE-GGA)

Data for NbFeCo3 after structural relaxation.

Output
* relative energy among the computed polymorphs: 0 meV per atom
* calculated total energy: -7.6169 eV per atom
* SG: P6_3/mmc
* ΔH_f (0 K): 353 meV/atom

a = 4.558 Å, b = 5.762 Å, c = 5.762 Å
α = 120.00°, β = 90.00°, γ = 90.00°
Last column: magnetic moment on the atom in μB.
Element x y z (fractional)
Fe  0.000  0.000  0.000  2.05
Fe  0.500  0.000  0.000  2.05
Co  0.250  0.801  0.603  0.97
Co  0.750  0.603  0.801  0.97
Co  0.750  0.199  0.397  0.97
Co  0.750  0.199  0.801  0.97
Co  0.250  0.397  0.199  0.97
Co  0.250  0.801  0.199  0.97
Nb  0.250  0.334  0.666  -0.46
Nb  0.750  0.666  0.334  -0.46

## NbFeCo (PBE-GGA)

Data for NbFeCo after structural relaxation.

Output
* relative energy among the computed polymorphs: 298 meV per atom
* calculated total energy: -8.4048 eV per atom
* SG: P-6m2
* ΔH_f (0 K): 141 meV/atom

a = 2.994 Å, b = 3.934 Å, c = 3.934 Å
α = 120.00°, β = 90.00°, γ = 90.00°
Last column: magnetic moment on the atom in μB.
Element x y z (fractional)
Co  0.167  0.000  0.000  0.49
Nb  0.667  0.667  0.333  -0.24
Fe  0.167  0.333  0.667  0.55

## NbFeCo (PBE-GGA)

Data for NbFeCo after structural relaxation.

Output
* relative energy among the computed polymorphs: 0 meV per atom
* calculated total energy: -8.7029 eV per atom
* SG: Imma
* ΔH_f (0 K): -157 meV/atom

a = 4.794 Å, b = 4.794 Å, c = 4.794 Å
α = 90.15°, β = 120.68°, γ = 119.16°
Last column: magnetic moment on the atom in μB.
Element x y z (fractional)
Nb  0.250  0.127  0.877  -0.35
Nb  0.750  0.873  0.123  -0.35
Co  0.000  0.500  0.500  0.46
Co  0.500  0.000  0.500  0.46
Fe  0.500  0.500  0.500  1.55
Fe  0.000  0.500  0.000  1.55

## Nb2FeCo (PBE-GGA)

Data for Nb2FeCo after structural relaxation.

Output
* relative energy among the computed polymorphs: 434 meV per atom
* calculated total energy: -8.5279 eV per atom
* SG: I-42d
* ΔH_f (0 K): 399 meV/atom

a = 6.815 Å, b = 6.815 Å, c = 5.501 Å
α = 51.72°, β = 51.72°, γ = 90.00°
Last column: magnetic moment on the atom in μB.
Element x y z (fractional)
Nb  0.375  0.364  0.750  -0.09
Nb  0.875  0.886  0.750  -0.09
Nb  0.114  0.625  0.250  -0.09
Nb  0.636  0.125  0.250  -0.09
Co  0.000  0.000  0.000  0.17
Co  0.750  0.250  0.500  0.17
Fe  0.500  0.500  0.000  1.92
Fe  0.250  0.750  0.500  1.92

## Nb2FeCo (PBE-GGA)

Data for Nb2FeCo after structural relaxation.

Output
* relative energy among the computed polymorphs: 41 meV per atom
* calculated total energy: -8.9207 eV per atom
* SG: Fm-3m
* ΔH_f (0 K): 6 meV/atom

a = 4.344 Å, b = 4.344 Å, c = 4.344 Å
α = 60.00°, β = 60.00°, γ = 60.00°
Last column: magnetic moment on the atom in μB.
Element x y z (fractional)
Nb  0.250  0.250  0.250  0.12
Nb  0.750  0.750  0.750  0.12
Fe  0.000  0.000  0.000  0.00
Co  0.500  0.500  0.500  1.23

## Nb2Fe3Co (PBE-GGA)

Data for Nb2Fe3Co after structural relaxation.

Output
* calculated total energy: -8.9190 eV per atom
* SG: R-3m
* ΔH_f (0 K): -147 meV/atom

a = 4.762 Å, b = 4.762 Å, c = 4.839 Å
α = 90.00°, β = 119.47°, γ = 120.01°
Last column: magnetic moment on the atom in μB.
Element x y z (fractional)
Fe  0.500  0.500  0.500  1.36
Fe  0.500  0.000  0.500  1.35
Fe  0.000  0.000  0.500  1.36
Co  0.000  0.000  0.000  0.31
Nb  0.754  0.377  0.130  -0.40
Nb  0.246  0.623  0.870  -0.40

## Nb2Fe2Co (PBE-GGA)

Data for Nb2Fe2Co after structural relaxation.

Output
* calculated total energy: -8.7649 eV per atom
* SG: P4/mbm
* ΔH_f (0 K): 69 meV/atom

a = 6.087 Å, b = 6.087 Å, c = 3.749 Å
α = 90.00°, β = 90.00°, γ = 90.00°
Last column: magnetic moment on the atom in μB.
Element x y z (fractional)
Fe  0.126  0.374  0.000  0.16
Fe  0.374  0.874  0.000  0.18
Fe  0.626  0.126  0.000  0.18
Fe  0.874  0.626  0.000  0.16
Nb  0.813  0.313  0.500  -0.07
Nb  0.687  0.813  0.500  -0.06
Nb  0.187  0.687  0.500  -0.07
Nb  0.313  0.187  0.500  -0.06
Co  0.000  0.000  0.000  0.37
Co  0.500  0.500  0.000  0.36

## NbFe2Co (PBE-GGA)

Data for NbFe2Co after structural relaxation.

Output
* calculated total energy: -7.5155 eV per atom
* SG: I4_1/amd
* ΔH_f (0 K): 1010 meV/atom

a = 3.924 Å, b = 3.924 Å, c = 16.266 Å
α = 90.00°, β = 90.00°, γ = 90.00°
Last column: magnetic moment on the atom in μB.
Element x y z (fractional)
Co  0.500  0.250  0.375  0.57
Co  0.000  0.250  0.125  0.57
Co  0.000  0.750  0.875  0.57
Co  0.500  0.750  0.625  0.57
Nb  0.000  0.750  0.375  -0.38
Nb  0.500  0.750  0.125  -0.38
Nb  0.000  0.250  0.625  -0.38
Nb  0.500  0.250  0.875  -0.38
Fe  0.750  0.750  0.750  1.23
Fe  0.750  0.250  0.250  1.23
Fe  0.000  0.000  0.000  1.23
Fe  0.250  0.250  0.250  1.23
Fe  0.000  0.500  0.000  1.23
Fe  0.500  0.000  0.500  1.23
Fe  0.500  0.500  0.500  1.23
Fe  0.250  0.750  0.750  1.23

## Nb3FeCo (PBE-GGA)

Data for Nb3FeCo after structural relaxation.

Output
* relative energy among the computed polymorphs: 935 meV per atom
* calculated total energy: -8.1831 eV per atom
* SG: Pm-3m
* ΔH_f (0 K): 973 meV/atom

a = 4.528 Å, b = 4.528 Å, c = 4.528 Å
α = 90.00°, β = 90.00°, γ = 90.00°
Element x y z (fractional)
Nb  0.500  0.000  0.000
Nb  0.000  0.500  0.000
Nb  0.000  0.000  0.500
Fe  0.000  0.000  0.000
Co  0.500  0.500  0.500

## NbFeCo (PBE-GGA)

Data for NbFeCo after structural relaxation.

Output
* relative energy among the computed polymorphs: 145 meV per atom
* calculated total energy: -8.5579 eV per atom
* SG: Cmcm
* ΔH_f (0 K): -12 meV/atom

a = 3.300 Å, b = 3.970 Å, c = 6.373 Å
α = 90.00°, β = 105.01°, γ = 90.00°
Last column: magnetic moment on the atom in μB.
Element x y z (fractional)
Co  0.577  0.250  0.155  0.42
Co  0.423  0.750  0.845  0.42
Nb  0.093  0.750  0.186  -0.34
Nb  0.907  0.250  0.814  -0.34
Fe  0.753  0.750  0.506  2.15
Fe  0.247  0.250  0.494  2.15

> Which formula does entry 3 have?

NbFeCo3

> ΔH_f (0 K) of number 7 (Nb2FeCo)?

6 meV/atom

> What is the formula in the eighth record?

Nb2Fe3Co

> calculated total energy of number 2 (Nb2FeCo3)?

-8.0704 eV per atom